1.
! SCAN ScIn2Pb, PBEsol geometry; values from VASP
&SYSTEM
  ibrav = 0, nat = 4, ntyp = 3
/
ATOMIC_SPECIES
In 114.82 In.upf
Sc 44.96 Sc.upf
Pb 207.20 Pb.upf
CELL_PARAMETERS angstrom
-0.1047 1.1829 4.1076
1.0472 -3.9766 1.1719
4.4283 2.6201 -2.8671
ATOMIC_POSITIONS angstrom
In 2.9734 -1.3767 0.4723
In 2.3974 1.2031 1.9401
Sc 0.4712 -1.3968 2.6398
Pb 0.0000 0.0000 0.0000
! total magnetization	0.000	Bohr magnetons per cell
! formation energy	-343.7	meV/atom
! calculated volume	23.105	Å³ per atom


2.
! SCAN ScInPb2, PBEsol geometry; values from VASP
&SYSTEM
  ibrav = 0, nat = 4, ntyp = 3
/
ATOMIC_SPECIES
Pb 207.20 Pb.upf
In 114.82 In.upf
Sc 44.96 Sc.upf
CELL_PARAMETERS angstrom
-0.1398 -0.2594 4.4147
-3.4656 -2.7373 -0.2706
4.9449 -2.4668 -2.2055
ATOMIC_POSITIONS angstrom
Pb 1.5012 -2.1122 2.1406
In -0.1617 -3.3512 -0.2020
Sc -1.8027 -1.4983 2.0721
Pb 0.0000 0.0000 0.0000
! total magnetization	0.000	Bohr magnetons per cell
! formation energy	-259.4	meV/atom
! calculated volume	24.769	Å³ per atom


3.
! SCAN ScInPb2, PBEsol geometry; values from VASP
&SYSTEM
  ibrav = 0, nat = 4, ntyp = 3
/
ATOMIC_SPECIES
Sc 44.96 Sc.upf
In 114.82 In.upf
Pb 207.20 Pb.upf
CELL_PARAMETERS angstrom
-0.8442 4.3681 0.8524
-3.7600 -0.2111 -2.6425
-0.3144 -3.3302 4.7180
ATOMIC_POSITIONS angstrom
Sc -0.4221 2.1840 0.4262
In -1.8800 -0.1055 -1.3213
Pb -3.6135 1.4511 1.0210
Pb -1.3051 -0.6244 1.9069
! total magnetization	0.000	Bohr magnetons per cell
! formation energy	-246.9	meV/atom
! calculated volume	25.001	Å³ per atom


4.
! SCAN ScInPb2, PBEsol geometry; values from VASP
&SYSTEM
  ibrav = 0, nat = 4, ntyp = 3
/
ATOMIC_SPECIES
Sc 44.96 Sc.upf
In 114.82 In.upf
Pb 207.20 Pb.upf
CELL_PARAMETERS angstrom
-3.1983 -0.2461 -0.9078
-0.7239 -1.3537 2.9593
-1.6305 8.4326 3.4586
ATOMIC_POSITIONS angstrom
Sc -0.7942 4.1074 1.6847
In -2.4083 1.5129 1.9743
Pb -3.1395 5.2949 3.5256
Pb -0.0259 0.1339 0.0549
! total magnetization	0.331	Bohr magnetons per cell
! formation energy	-198.9	meV/atom
! calculated volume	25.726	Å³ per atom